i | Material: NaTeH2
Method: DFT, GGA-PBE
State: optimized geometry

Calculated values
Symmetry: P-1
Crystal system: triclinic
V, Å³/cell: 67.2

POSCAR file:
```
NaTeH2
1.0
3.385 0.000 0.000
1.165 3.278 0.000
1.598 -0.105 6.061
Na Te H
1 1 2
direct
0.000 0.000 0.000
0.000 0.500 0.500
0.274 0.355 0.181
0.726 0.645 0.819
```

---

ii | Material: NaTeH2
Method: DFT, GGA-PBE
State: optimized geometry

Calculated values
Symmetry: Pm
Crystal system: monoclinic
V, Å³/cell: 70.3

POSCAR file:
```
NaTeH2
1.0
4.769 0.000 0.000
0.000 3.207 0.000
-2.378 0.000 4.596
Na Te H
1 1 2
direct
0.000 0.000 0.000
0.682 0.500 0.365
0.363 0.119 0.729
0.363 0.881 0.729
```

---

iii | Material: NaTeH2
Method: DFT, GGA-PBE
State: optimized geometry

Calculated values
Symmetry: C2
Crystal system: monoclinic
V, Å³/cell: 189.9

POSCAR file:
```
NaTeH2
1.0
3.811 -3.094 0.000
3.811 3.094 0.000
-1.312 0.000 8.052
Na Te H
2 2 4
direct
0.000 0.000 0.000
0.885 0.115 0.500
0.432 0.065 0.759
0.935 0.568 0.241
0.385 0.406 0.832
0.445 0.479 0.525
0.521 0.555 0.475
0.594 0.615 0.168
```

---

Calculated relative energies: i 409; ii 8; iii 0, given in meV/atom

---

i | Material: Na2TeH
Method: DFT, GGA-PBE
State: optimized geometry

Calculated values
Symmetry: Fm-3m
Crystal system: cubic
V, Å³/cell: 96.4

POSCAR file:
```
Na2TeH
1.0
0.000 3.640 3.640
3.640 0.000 3.640
3.640 3.640 0.000
Na Te H
2 1 1
direct
0.250 0.250 0.250
0.750 0.750 0.750
0.000 0.000 0.000
0.500 0.500 0.500
```

---

ii | Material: Na2TeH
Method: DFT, GGA-PBE
State: optimized geometry

Calculated values
Symmetry: P4/mbm
Crystal system: tetragonal
V, Å³/cell: 188.6

POSCAR file:
```
Na2TeH
1.0
7.667 0.000 0.000
0.000 7.667 0.000
0.000 0.000 3.208
Na Te H
4 2 2
direct
0.147 0.353 0.000
0.353 0.853 0.000
0.647 0.147 0.000
0.853 0.647 0.000
0.000 0.000 0.500
0.500 0.500 0.500
0.000 0.500 0.500
0.500 0.000 0.500
```

---

Calculated relative energies: i 177; ii 0, given in meV/atom

---

i | Material: NaTeH3
Method: DFT, GGA-PBE
State: optimized geometry

Calculated values
Symmetry: Pm-3m
Crystal system: cubic
V, Å³/cell: 79.3

POSCAR file:
```
NaTeH3
1.0
4.296 0.000 0.000
0.000 4.296 0.000
0.000 0.000 4.296
Na Te H
1 1 3
direct
0.000 0.000 0.000
0.500 0.500 0.500
0.000 0.500 0.500
0.500 0.000 0.500
0.500 0.500 0.000
```

---

ii | Material: NaTeH3
Method: DFT, GGA-PBE
State: optimized geometry

Calculated values
Symmetry: Pm-3m
Crystal system: cubic
V, Å³/cell: 59.5

POSCAR file:
```
NaTeH3
1.0
3.905 0.000 0.000
0.000 3.905 0.000
0.000 0.000 3.905
Na Te H
1 1 3
direct
0.000 0.000 0.000
0.500 0.500 0.500
0.000 0.000 0.500
0.000 0.500 0.000
0.500 0.000 0.000
```

---

Calculated relative energies: i 0; ii 417, given in meV/atom